Below is an optimized crystal structure of CoPH2Br, with properties calculated at the PBE level.

Computed properties:
M_tot (Bohr magnetons per cell): 0.00
Space-group type: Cm (8)
VASP energy (eV per atom): -4.0268
Relative energy among the computed polymorphs (kJ/mol of formula units): 115
Volume (A^3/atom): 13.120
N(E_F) (states/eV/atom): 0.54

a b c (Å): 6.0185 3.7397 5.9801
angles (deg): 90.00 102.89 90.00
Fractional coordinates of all 10 atoms:
Co 0.0000 0.0000 0.0000
Co 0.5000 0.5000 0.0000
P 0.1219 0.5000 0.8435
P 0.6219 0.0000 0.8435
H 0.2618 0.2340 0.0421
H 0.2618 0.7660 0.0421
H 0.7618 0.2660 0.0421
H 0.7618 0.7340 0.0421
Br 0.0901 0.0000 0.3967
Br 0.5901 0.5000 0.3967